Entry 1:
Material: Mn2TlTe
Method: DFT, PBE
State: optimized geometry

Calculated values
- E_tot: -5.542 eV per atom
- DOS at the Fermi energy: 3.2 states/eV per cell
- Calculated density: 8.6 g/cm3
- Formation energy from raw total energies: 0.42 eV per atom
- Excess energy over the best structure of this formula in the dataset: 159.0 meV per atom

```
data_Mn2TlTe
_space_group_name_H-M_alt 'P 1'
_space_group_IT_number 1
_cell_length_a 5.141
_cell_length_b 5.141
_cell_length_c 5.141
_cell_angle_alpha 131.48
_cell_angle_beta 119.10
_cell_angle_gamma 81.44
loop_
_space_group_symop_operation_xyz
'x,y,z'
loop_
_atom_site_label
_atom_site_type_symbol
_atom_site_fract_x
_atom_site_fract_y
_atom_site_fract_z
Mn1 Mn 0.247 0.247 0.000
Mn2 Mn 0.753 0.753 0.000
Tl1 Tl 0.500 0.000 0.500
Te1 Te 0.000 0.500 0.500
```


Entry 2:
Material: Mn2Tl3Te4
Method: DFT, PBE
State: optimized geometry

Calculated values
- E_tot: -4.434 eV per atom
- DOS at the Fermi energy: 7.5 states/eV per cell
- Calculated density: 6.6 g/cm3
- Formation energy from raw total energies: -0.21 eV per atom
- Excess energy over the best structure of this formula in the dataset: 0.0 meV per atom

```
data_Mn2Tl3Te4
_space_group_name_H-M_alt 'P 1'
_space_group_IT_number 1
_cell_length_a 9.489
_cell_length_b 9.489
_cell_length_c 7.132
_cell_angle_alpha 91.22
_cell_angle_beta 91.22
_cell_angle_gamma 74.97
loop_
_space_group_symop_operation_xyz
'x,y,z'
loop_
_atom_site_label
_atom_site_type_symbol
_atom_site_fract_x
_atom_site_fract_y
_atom_site_fract_z
Mn1 Mn 0.083 0.332 0.072
Mn2 Mn 0.332 0.083 0.572
Mn3 Mn 0.668 0.917 0.428
Mn4 Mn 0.917 0.668 0.928
Tl1 Tl 0.104 0.896 0.250
Tl2 Tl 0.252 0.512 0.517
Tl3 Tl 0.488 0.748 0.983
Tl4 Tl 0.512 0.252 0.017
Tl5 Tl 0.748 0.488 0.483
Tl6 Tl 0.896 0.104 0.750
Te1 Te 0.080 0.248 0.428
Te2 Te 0.204 0.555 0.014
Te3 Te 0.248 0.080 0.928
Te4 Te 0.445 0.796 0.486
Te5 Te 0.555 0.204 0.514
Te6 Te 0.752 0.920 0.072
Te7 Te 0.796 0.445 0.986
Te8 Te 0.920 0.752 0.572
```


Entry 3:
Material: Mn2TlTe
Method: DFT, PBE
State: optimized geometry

Calculated values
- E_tot: -5.551 eV per atom
- DOS at the Fermi energy: 2.4 states/eV per cell
- Calculated density: 8.5 g/cm3
- Formation energy from raw total energies: 0.41 eV per atom
- Excess energy over the best structure of this formula in the dataset: 150.2 meV per atom

```
data_Mn2TlTe
_space_group_name_H-M_alt 'P 1'
_space_group_IT_number 1
_cell_length_a 5.920
_cell_length_b 5.920
_cell_length_c 5.920
_cell_angle_alpha 139.73
_cell_angle_beta 139.73
_cell_angle_gamma 58.27
loop_
_space_group_symop_operation_xyz
'x,y,z'
loop_
_atom_site_label
_atom_site_type_symbol
_atom_site_fract_x
_atom_site_fract_y
_atom_site_fract_z
Mn1 Mn 0.000 0.000 0.000
Mn2 Mn 0.750 0.250 0.500
Tl1 Tl 0.500 0.500 0.000
Te1 Te 0.250 0.750 0.500
```


Entry 4:
Material: MnTl2Te2
Method: DFT, PBE
State: optimized geometry

Calculated values
- E_tot: -4.245 eV per atom
- Calculated density: 7.1 g/cm3
- Formation energy from raw total energies: -0.21 eV per atom
- Excess energy over the best structure of this formula in the dataset: 0.0 meV per atom

```
data_MnTl2Te2
_space_group_name_H-M_alt 'P 1'
_space_group_IT_number 1
_cell_length_a 10.104
_cell_length_b 7.520
_cell_length_c 8.801
_cell_angle_alpha 90.00
_cell_angle_beta 91.27
_cell_angle_gamma 90.00
loop_
_space_group_symop_operation_xyz
'x,y,z'
loop_
_atom_site_label
_atom_site_type_symbol
_atom_site_fract_x
_atom_site_fract_y
_atom_site_fract_z
Mn1 Mn 0.123 0.073 0.151
Mn2 Mn 0.123 0.427 0.651
Mn3 Mn 0.877 0.573 0.349
Mn4 Mn 0.877 0.927 0.849
Tl1 Tl 0.155 0.628 0.010
Tl2 Tl 0.155 0.872 0.510
Tl3 Tl 0.425 0.226 0.529
Tl4 Tl 0.425 0.274 0.029
Tl5 Tl 0.575 0.726 0.971
Tl6 Tl 0.575 0.774 0.471
Tl7 Tl 0.845 0.128 0.490
Tl8 Tl 0.845 0.372 0.990
Te1 Te 0.107 0.128 0.834
Te2 Te 0.107 0.372 0.334
Te3 Te 0.354 0.605 0.697
Te4 Te 0.354 0.895 0.197
Te5 Te 0.646 0.105 0.803
Te6 Te 0.646 0.395 0.303
Te7 Te 0.893 0.628 0.666
Te8 Te 0.893 0.872 0.166
```


Entry 5:
Material: MnTl4Te
Method: DFT, PBE
State: optimized geometry

Calculated values
- E_tot: -3.204 eV per atom
- DOS at the Fermi energy: 4.8 states/eV per cell
- Calculated density: 8.9 g/cm3
- Formation energy from raw total energies: 0.42 eV per atom

```
data_MnTl4Te
_space_group_name_H-M_alt 'P 1'
_space_group_IT_number 1
_cell_length_a 6.417
_cell_length_b 6.417
_cell_length_c 6.417
_cell_angle_alpha 60.00
_cell_angle_beta 60.00
_cell_angle_gamma 60.00
loop_
_space_group_symop_operation_xyz
'x,y,z'
loop_
_atom_site_label
_atom_site_type_symbol
_atom_site_fract_x
_atom_site_fract_y
_atom_site_fract_z
Mn1 Mn 0.000 0.000 0.000
Tl1 Tl 0.375 0.375 0.375
Tl2 Tl 0.375 0.375 0.875
Tl3 Tl 0.375 0.875 0.375
Tl4 Tl 0.875 0.375 0.375
Te1 Te 0.750 0.750 0.750
```


Entry 6:
Material: Mn2Tl3Te4
Method: DFT, PBE
State: optimized geometry

Calculated values
- E_tot: -4.418 eV per atom
- DOS at the Fermi energy: 2.5 states/eV per cell
- Calculated density: 6.9 g/cm3
- Formation energy from raw total energies: -0.19 eV per atom
- Excess energy over the best structure of this formula in the dataset: 16.9 meV per atom

```
data_Mn2Tl3Te4
_space_group_name_H-M_alt 'P 1'
_space_group_IT_number 1
_cell_length_a 8.205
_cell_length_b 8.205
_cell_length_c 9.957
_cell_angle_alpha 110.05
_cell_angle_beta 110.05
_cell_angle_gamma 28.41
loop_
_space_group_symop_operation_xyz
'x,y,z'
loop_
_atom_site_label
_atom_site_type_symbol
_atom_site_fract_x
_atom_site_fract_y
_atom_site_fract_z
Mn1 Mn 0.245 0.245 0.350
Mn2 Mn 0.755 0.755 0.650
Tl1 Tl 0.000 0.000 0.500
Tl2 Tl 0.394 0.394 0.036
Tl3 Tl 0.606 0.606 0.964
Te1 Te 0.193 0.193 0.785
Te2 Te 0.372 0.372 0.631
Te3 Te 0.628 0.628 0.369
Te4 Te 0.807 0.807 0.215
```


Entry 7:
Material: Mn2TlTe4
Method: DFT, PBE
State: optimized geometry

Calculated values
- E_tot: -4.895 eV per atom
- DOS at the Fermi energy: 9.1 states/eV per cell
- Calculated density: 6.3 g/cm3
- Formation energy from raw total energies: -0.14 eV per atom

```
data_Mn2TlTe4
_space_group_name_H-M_alt 'P 1'
_space_group_IT_number 1
_cell_length_a 8.507
_cell_length_b 8.507
_cell_length_c 8.506
_cell_angle_alpha 119.97
_cell_angle_beta 119.97
_cell_angle_gamma 90.04
loop_
_space_group_symop_operation_xyz
'x,y,z'
loop_
_atom_site_label
_atom_site_type_symbol
_atom_site_fract_x
_atom_site_fract_y
_atom_site_fract_z
Mn1 Mn 0.000 0.000 0.000
Mn2 Mn 0.000 0.000 0.500
Mn3 Mn 0.000 0.500 0.000
Mn4 Mn 0.500 0.000 0.500
Tl1 Tl 0.375 0.625 0.750
Tl2 Tl 0.625 0.375 0.250
Te1 Te 0.195 0.232 0.963
Te2 Te 0.232 0.195 0.463
Te3 Te 0.232 0.769 0.037
Te4 Te 0.232 0.769 0.464
Te5 Te 0.769 0.232 0.537
Te6 Te 0.769 0.232 0.964
Te7 Te 0.769 0.805 0.537
Te8 Te 0.805 0.769 0.037
```


Entry 8:
Material: Mn2TlTe
Method: DFT, PBE
State: optimized geometry

Calculated values
- E_tot: -5.642 eV per atom
- DOS at the Fermi energy: 2.3 states/eV per cell
- Calculated density: 8.1 g/cm3
- Formation energy from raw total energies: 0.32 eV per atom
- Excess energy over the best structure of this formula in the dataset: 59.1 meV per atom

```
data_Mn2TlTe
_space_group_name_H-M_alt 'P 1'
_space_group_IT_number 1
_cell_length_a 3.948
_cell_length_b 4.027
_cell_length_c 5.665
_cell_angle_alpha 90.00
_cell_angle_beta 90.21
_cell_angle_gamma 90.00
loop_
_space_group_symop_operation_xyz
'x,y,z'
loop_
_atom_site_label
_atom_site_type_symbol
_atom_site_fract_x
_atom_site_fract_y
_atom_site_fract_z
Mn1 Mn 0.000 0.000 0.000
Mn2 Mn 0.500 0.500 0.500
Tl1 Tl 0.000 0.000 0.500
Te1 Te 0.500 0.500 0.000
```